[1]
## MoAsOs2 (meta-GGA SCAN)

Data for a crystal of MoAsOs2 relaxed with PBEsol.

a b c (Å): 3.958 2.801 10.421
angles (deg): 90.00 90.00 90.00
Space group Amm2 (No. 38)
Symmetry-distinct sites (fractional):
Mo 0.000 0.000 0.000 [2 per cell]
As 0.500 0.000 0.396 [2 per cell]
Os 0.000 0.000 0.257 [2 per cell]
Os 0.500 0.000 0.633 [2 per cell]

Computed properties:
M_tot   0.000 μB/f.u.
Formation enthalpy at 0 K   0.145 eV per atom

***

[2]
## ZrFe2F (meta-GGA SCAN)

Data for a crystal of ZrFe2F relaxed with PBEsol.

a b c (Å): 6.012 6.012 6.012
angles (deg): 90.00 90.00 90.00
Space group Fm-3m (No. 225)
Symmetry-distinct sites (fractional):
Zr 0.000 0.000 0.000 [4 per cell]
Fe 0.250 0.250 0.250 [8 per cell]
F 0.000 0.000 0.500 [4 per cell]

Computed properties:
Formation energy from raw total energies   111 kJ/mol of formula units
M_tot   5.008 μB/f.u.

***

[3]
## Na3Sr3GaAs4 (meta-GGA SCAN)

Data for a crystal of Na3Sr3GaAs4 relaxed with PBEsol.

a b c (Å): 9.5618 9.5618 7.4771
angles (deg): 90.00 90.00 120.00
Space group P6_3mc (No. 186)
Symmetry-distinct sites (fractional):
Na 0.1360 0.2721 0.0000 [6 per cell]
Sr 0.0433 0.5216 0.6719 [6 per cell]
Ga 0.3333 0.6667 0.2992 [2 per cell]
As 0.1890 0.3780 0.3936 [6 per cell]
As 0.3333 0.6667 0.9540 [2 per cell]

Computed properties:
M_tot   0.000 μB/f.u.
Formation enthalpy at 0 K   -0.960 eV per atom

***

[4]
## LaBPb2N (meta-GGA SCAN)

Data for a crystal of LaBPb2N relaxed with PBEsol.

a b c (Å): 6.186 6.186 4.051
angles (deg): 90.00 90.00 90.00
Space group P4/mmm (No. 123)
Symmetry-distinct sites (fractional):
La 0.000 0.000 0.000 [1 per cell]
B 0.500 0.500 0.500 [1 per cell]
Pb 0.000 0.500 0.000 [2 per cell]
N 0.000 0.000 0.500 [1 per cell]

Computed properties:
Formation energy from raw total energies   678 kJ/mol of formula units
M_tot   0.000 μB/f.u.

***

[5]
## ScCd2Br (meta-GGA SCAN)

Data for a crystal of ScCd2Br relaxed with PBEsol.

a b c (Å): 4.414 4.414 9.005
angles (deg): 90.00 90.00 90.00
Space group I-4m2 (No. 119)
Symmetry-distinct sites (fractional):
Sc 0.000 0.000 0.000 [2 per cell]
Cd 0.000 0.000 0.500 [2 per cell]
Cd 0.000 0.500 0.750 [2 per cell]
Br 0.000 0.500 0.250 [2 per cell]

Computed properties:
Formation energy from raw total energies   -95 kJ/mol of formula units
M_tot   0.000 μB/f.u.

***

[6]
## CaFe2Ir (meta-GGA SCAN)

Data for a crystal of CaFe2Ir relaxed with PBEsol.

a b c (Å): 2.886 4.626 9.409
angles (deg): 90.00 90.00 90.00
Space group Immm (No. 71)
Symmetry-distinct sites (fractional):
Ca 0.000 0.000 0.000 [2 per cell]
Fe 0.000 0.500 0.223 [4 per cell]
Ir 0.000 0.000 0.500 [2 per cell]

Computed properties:
M_tot   6.443 μB/f.u.
Formation enthalpy at 0 K   0.180 eV per atom

***

[7]
## Fe3Co5 (meta-GGA SCAN)

Data for a crystal of Fe3Co5 relaxed with PBEsol.

a b c (Å): 2.784 3.927 15.783
angles (deg): 90.00 90.00 90.00
Space group Imm2 (No. 44)
Symmetry-distinct sites (fractional):
Fe 0.000 0.000 0.000 [2 per cell]
Fe 0.000 0.000 0.247 [2 per cell]
Fe 0.000 0.500 0.375 [2 per cell]
Co 0.000 0.000 0.500 [2 per cell]
Co 0.000 0.000 0.750 [2 per cell]
Co 0.000 0.500 0.124 [2 per cell]
Co 0.000 0.500 0.624 [2 per cell]
Co 0.000 0.500 0.872 [2 per cell]

Computed properties:
M_tot   17.675 μB/f.u.
Formation enthalpy at 0 K   -0.134 eV per atom

***

[8]
## TaHPt2 (meta-GGA SCAN)

Data for a crystal of TaHPt2 relaxed with PBEsol.

a b c (Å): 6.096 6.096 6.096
angles (deg): 90.00 90.00 90.00
Space group Fm-3m (No. 225)
Symmetry-distinct sites (fractional):
Ta 0.000 0.000 0.000 [4 per cell]
H 0.000 0.000 0.500 [4 per cell]
Pt 0.250 0.250 0.250 [8 per cell]

Computed properties:
M_tot   0.000 μB/f.u.

***

The records above give, respectively, uncorrected energy values of -396.5 -277.4 -374.3 -204.4 -191.0 -232.6 -284.0 -839.9 eV/cell.